A relaxed MgMo2O crystal. Source: Alexandria via LeMat-Bulk, functional PBE with a Hubbard U.

Results
space-group type: I-42d
total energy: -4.78 eV/atom
ΔE to the lowest computed polymorph: 0.000 eV per atom

Structure (CIF):
```
data_MgMo2O
_space_group_name_H-M_alt 'P 1'
_space_group_IT_number 1
_space_group_name_Hall 'P 1'
_cell_length_a 5.990
_cell_length_b 5.990
_cell_length_c 7.051
_cell_angle_alpha 64.87
_cell_angle_beta 64.87
_cell_angle_gamma 90.00
loop_
_atom_site_label
_atom_site_fract_x
_atom_site_fract_y
_atom_site_fract_z
Mo1 0.452 0.125 0.250
Mo2 0.298 0.625 0.250
Mo3 0.375 0.548 0.750
Mo4 0.875 0.702 0.750
Mg1 0.000 0.000 0.000
Mg2 0.750 0.250 0.500
O1 0.500 0.500 0.000
O2 0.250 0.750 0.500
```